Compound: Dy3Al8Ag
Source: Alexandria via LeMat-Bulk
Functional: PBE
Structure: optimized geometry

CIF file:
```
data_Dy3Al8Ag
_space_group_name_H-M_alt 'R 3 m'
_space_group_IT_number 160
_space_group_name_Hall 'R 3 -2"'
_cell_length_a 5.5224
_cell_length_b 5.5224
_cell_length_c 26.9389
_cell_angle_alpha 90.00
_cell_angle_beta 90.00
_cell_angle_gamma 120.00
loop_
_atom_site_label
_atom_site_type_symbol
_atom_site_fract_x
_atom_site_fract_y
_atom_site_fract_z
_atom_site_occupancy
Dy1 Dy 0.0000 0.0000 0.0000 1
Dy2 Dy 0.0000 0.0000 0.1288 1
Dy3 Dy 0.0000 0.0000 0.6199 1
Al1 Al 0.0000 0.0000 0.3135 1
Al2 Al 0.0000 0.0000 0.8136 1
Al3 Al 0.0024 0.5012 0.5642 1
Al4 Al 0.1680 0.3361 0.3963 1
Ag1 Ag 0.0000 0.0000 0.4923 1
```

Summary:
crystal system: trigonal
energy of formation: -0.351 eV/atom

=====

Compound: CaPu2ZrN4
Source: Alexandria via LeMat-Bulk
Functional: PBE
Structure: optimized geometry

CIF file:
```
data_CaPu2ZrN4
_space_group_name_H-M_alt 'P 1 2/m 1'
_space_group_IT_number 10
_cell_length_a 5.8843
_cell_length_b 3.4198
_cell_length_c 5.9821
_cell_angle_alpha 90.00
_cell_angle_beta 109.60
_cell_angle_gamma 90.00
loop_
_space_group_symop_operation_xyz
'x,y,z'
'-x,-y,-z'
'-x,y,-z'
'x,-y,z'
loop_
_atom_site_label
_atom_site_type_symbol
_atom_site_fract_x
_atom_site_fract_y
_atom_site_fract_z
_atom_site_occupancy
Ca1 Ca 0.0000 0.0000 0.0000 1
Pu1 Pu 0.5000 0.0000 0.5000 1
Pu2 Pu 0.5000 0.5000 0.0000 1
Zr1 Zr 0.0000 0.5000 0.5000 1
N1 N 0.2449 0.0000 0.7320 1
N2 N 0.2596 0.5000 0.2761 1
```

Summary:
formation energy (no corrections): -1.340 eV per atom
crystal system: monoclinic

=====

Compound: PrTmMg
Source: Alexandria via LeMat-Bulk
Functional: PBE
Structure: optimized geometry

CIF file:
```
data_PrTmMg
_space_group_name_H-M_alt 'P 4/n m m'
_space_group_IT_number 129
_cell_length_a 4.6732
_cell_length_b 4.6732
_cell_length_c 8.5462
_cell_angle_alpha 90.00
_cell_angle_beta 90.00
_cell_angle_gamma 90.00
loop_
_space_group_symop_operation_xyz
'x,y,z'
'-x,-y,-z'
'-y+1/2,x,z'
'y+1/2,-x,-z'
'-x+1/2,-y+1/2,z'
'x+1/2,y+1/2,-z'
'y,-x+1/2,z'
'-y,x+1/2,-z'
'x+1/2,-y,-z'
'-x+1/2,y,z'
'-y,-x,-z'
'y,x,z'
'-x,y+1/2,-z'
'x,-y+1/2,z'
'y+1/2,x+1/2,-z'
'-y+1/2,-x+1/2,z'
loop_
_atom_site_label
_atom_site_type_symbol
_atom_site_fract_x
_atom_site_fract_y
_atom_site_fract_z
_atom_site_occupancy
Pr1 Pr 0.2500 0.2500 0.1561 1
Tm1 Tm 0.2500 0.2500 0.7505 1
Mg1 Mg 0.2500 0.7500 0.5000 1
```

Summary:
energy above the most stable polymorph in this dataset: 236 meV per atom
crystal system: tetragonal
energy of formation: 0.192 eV/atom

=====

Compound: PmMnGa
Source: Alexandria via LeMat-Bulk
Functional: PBE
Structure: optimized geometry

CIF file:
```
data_PmMnGa
_space_group_name_H-M_alt 'P -6 m 2'
_space_group_IT_number 187
_space_group_name_Hall 'P -6 2'
_cell_length_a 4.4341
_cell_length_b 4.4341
_cell_length_c 3.8714
_cell_angle_alpha 90.00
_cell_angle_beta 90.00
_cell_angle_gamma 120.00
loop_
_atom_site_label
_atom_site_type_symbol
_atom_site_fract_x
_atom_site_fract_y
_atom_site_fract_z
_atom_site_occupancy
Pm1 Pm 0.0000 0.0000 0.0000 1
Mn1 Mn 0.6667 0.3333 0.5000 1
Ga1 Ga 0.3333 0.6667 0.5000 1
```

Summary:
energy above the most stable polymorph in this dataset: 0 meV per atom
crystal system: hexagonal
energy of formation: -0.229 eV/atom

=====

Compound: Dy5ZrGe4
Source: Alexandria via LeMat-Bulk
Functional: PBE
Structure: optimized geometry

CIF file:
```
data_Dy5ZrGe4
_space_group_name_H-M_alt 'C 1 2/m 1'
_space_group_IT_number 12
_cell_length_a 18.5096
_cell_length_b 4.1835
_cell_length_c 7.5599
_cell_angle_alpha 90.00
_cell_angle_beta 114.02
_cell_angle_gamma 90.00
loop_
_space_group_symop_operation_xyz
'x,y,z'
'-x,-y,-z'
'-x,y,-z'
'x,-y,z'
'x+1/2,y+1/2,z'
'-x+1/2,-y+1/2,-z'
'-x+1/2,y+1/2,-z'
'x+1/2,-y+1/2,z'
loop_
_atom_site_label
_atom_site_type_symbol
_atom_site_fract_x
_atom_site_fract_y
_atom_site_fract_z
_atom_site_occupancy
Dy1 Dy 0.0000 0.0000 0.0000 1
Dy2 Dy 0.1653 0.5000 0.4092 1
Dy3 Dy 0.1655 0.5000 0.9180 1
Zr1 Zr 0.0000 0.0000 0.5000 1
Ge1 Ge 0.9998 0.5000 0.2593 1
Ge2 Ge 0.1837 0.0000 0.6822 1
```

Summary:
crystal system: monoclinic
energy of formation: -0.570 eV/atom

=====

Compound: Pr2NdSm3Er6
Source: Alexandria via LeMat-Bulk
Functional: PBE
Structure: optimized geometry

CIF file:
```
data_Pr2NdSm3Er6
_space_group_name_H-M_alt 'C 1 2/m 1'
_space_group_IT_number 12
_cell_length_a 6.2289
_cell_length_b 10.7859
_cell_length_c 11.7647
_cell_angle_alpha 90.00
_cell_angle_beta 100.13
_cell_angle_gamma 90.00
loop_
_space_group_symop_operation_xyz
'x,y,z'
'-x,-y,-z'
'-x,y,-z'
'x,-y,z'
'x+1/2,y+1/2,z'
'-x+1/2,-y+1/2,-z'
'-x+1/2,y+1/2,-z'
'x+1/2,-y+1/2,z'
loop_
_atom_site_label
_atom_site_type_symbol
_atom_site_fract_x
_atom_site_fract_y
_atom_site_fract_z
_atom_site_occupancy
Pr1 Pr 0.0000 0.1666 0.0000 1
Nd1 Nd 0.0000 0.5000 0.0000 1
Sm1 Sm 0.0000 0.0000 0.5000 1
Sm2 Sm 0.0000 0.3333 0.5000 1
Er1 Er 0.2492 0.1666 0.7482 1
Er2 Er 0.2489 0.5000 0.7481 1
```

Summary:
crystal system: monoclinic
energy of formation: 0.015 eV/atom

=====

Compound: Pm12Al3Ga
Source: Alexandria via LeMat-Bulk
Functional: PBE
Structure: optimized geometry

CIF file:
```
data_Pm12Al3Ga
_space_group_name_H-M_alt 'P 4/m m m'
_space_group_IT_number 123
_space_group_name_Hall '-P 4 2'
_cell_length_a 4.8551
_cell_length_b 4.8551
_cell_length_c 19.4575
_cell_angle_alpha 90.00
_cell_angle_beta 90.00
_cell_angle_gamma 90.00
loop_
_atom_site_label
_atom_site_type_symbol
_atom_site_fract_x
_atom_site_fract_y
_atom_site_fract_z
_atom_site_occupancy
Pm1 Pm 0.0000 0.0000 0.0000 1
Pm2 Pm 0.0000 0.0000 0.2493 1
Pm3 Pm 0.0000 0.0000 0.5000 1
Pm4 Pm 0.0000 0.5000 0.1242 1
Pm5 Pm 0.0000 0.5000 0.3746 1
Al1 Al 0.5000 0.5000 0.2490 1
Al2 Al 0.5000 0.5000 0.5000 1
Ga1 Ga 0.5000 0.5000 0.0000 1
```

Summary:
crystal system: tetragonal
energy of formation: -0.188 eV/atom

=====

Compound: NiCl
Source: Alexandria via LeMat-Bulk
Functional: PBE
Structure: optimized geometry

CIF file:
```
data_NiCl
_space_group_name_H-M_alt 'P m m n'
_space_group_IT_number 59
_cell_length_a 3.6182
_cell_length_b 11.1913
_cell_length_c 5.4086
_cell_angle_alpha 90.00
_cell_angle_beta 90.00
_cell_angle_gamma 90.00
loop_
_space_group_symop_operation_xyz
'x,y,z'
'-x,-y,-z'
'-x+1/2,-y+1/2,z'
'x+1/2,y+1/2,-z'
'x+1/2,-y,-z'
'-x+1/2,y,z'
'-x,y+1/2,-z'
'x,-y+1/2,z'
loop_
_atom_site_label
_atom_site_type_symbol
_atom_site_fract_x
_atom_site_fract_y
_atom_site_fract_z
_atom_site_occupancy
Ni1 Ni 0.2500 0.0724 0.0315 1
Ni2 Ni 0.2500 0.7500 0.4537 1
Cl1 Cl 0.2500 0.2500 0.7947 1
Cl2 Cl 0.2500 0.5904 0.7176 1
```

Summary:
formation energy (no corrections): -0.085 eV per atom
crystal system: orthorhombic

=====

Compound: AcThF
Source: Alexandria via LeMat-Bulk
Functional: PBE
Structure: optimized geometry

CIF file:
```
data_AcThF
_space_group_name_H-M_alt 'P 1'
_space_group_IT_number 1
_cell_length_a 3.7547
_cell_length_b 3.7585
_cell_length_c 13.5347
_cell_angle_alpha 97.94
_cell_angle_beta 97.72
_cell_angle_gamma 90.35
loop_
_space_group_symop_operation_xyz
'x,y,z'
loop_
_atom_site_label
_atom_site_type_symbol
_atom_site_fract_x
_atom_site_fract_y
_atom_site_fract_z
_atom_site_occupancy
Ac1 Ac 0.0000 0.0000 0.0000 1
Ac2 Ac 0.3884 0.3858 0.7716 1
Th1 Th 0.1876 0.1789 0.3580 1
Th2 Th 0.7823 0.7755 0.5512 1
F1 F 0.1013 0.0934 0.1867 1
F2 F 0.2846 0.2778 0.5559 1
```

Summary:
formation energy (no corrections): -1.333 eV per atom
crystal system: triclinic

=====

Compound: LiZr2Ru2
Source: Alexandria via LeMat-Bulk
Functional: PBE
Structure: optimized geometry

CIF file:
```
data_LiZr2Ru2
_space_group_name_H-M_alt 'P 4/m b m'
_space_group_IT_number 127
_space_group_name_Hall '-P 4 2ab'
_cell_length_a 7.7099
_cell_length_b 7.7099
_cell_length_c 3.1455
_cell_angle_alpha 90.00
_cell_angle_beta 90.00
_cell_angle_gamma 90.00
loop_
_atom_site_label
_atom_site_type_symbol
_atom_site_fract_x
_atom_site_fract_y
_atom_site_fract_z
_atom_site_occupancy
Li1 Li 0.0000 0.0000 0.0000 1
Zr1 Zr 0.1491 0.3509 0.0000 1
Ru1 Ru 0.1447 0.6447 0.5000 1
```

Summary:
energy above the most stable polymorph in this dataset: 102 meV per atom
crystal system: tetragonal
energy of formation: -0.147 eV/atom

=====

Compound: Pr8Ir3Cl4F
Source: Alexandria via LeMat-Bulk
Functional: PBE
Structure: optimized geometry

CIF file:
```
data_Pr8Ir3Cl4F
_space_group_name_H-M_alt 'R -3 m'
_space_group_IT_number 166
_space_group_name_Hall '-R 3 2"'
_cell_length_a 8.2637
_cell_length_b 8.2637
_cell_length_c 22.6917
_cell_angle_alpha 90.00
_cell_angle_beta 90.00
_cell_angle_gamma 120.00
loop_
_atom_site_label
_atom_site_type_symbol
_atom_site_fract_x
_atom_site_fract_y
_atom_site_fract_z
_atom_site_occupancy
Pr1 Pr 0.0000 0.0000 0.2346 1
Pr2 Pr 0.0100 0.5050 0.7640 1
Ir1 Ir 0.0000 0.5000 0.5000 1
Cl1 Cl 0.0000 0.0000 0.0000 1
Cl2 Cl 0.0000 0.5000 0.0000 1
F1 F 0.0000 0.0000 0.5000 1
```

Summary:
formation energy (no corrections): -1.327 eV per atom
crystal system: trigonal

=====

Compound: KNiHg3
Source: Alexandria via LeMat-Bulk
Functional: PBE
Structure: optimized geometry

CIF file:
```
data_KNiHg3
_space_group_name_H-M_alt 'P m -3 m'
_space_group_IT_number 221
_space_group_name_Hall '-P 4 2 3'
_cell_length_a 5.1682
_cell_length_b 5.1682
_cell_length_c 5.1682
_cell_angle_alpha 90.00
_cell_angle_beta 90.00
_cell_angle_gamma 90.00
loop_
_atom_site_label
_atom_site_type_symbol
_atom_site_fract_x
_atom_site_fract_y
_atom_site_fract_z
_atom_site_occupancy
K1 K 0.0000 0.0000 0.0000 1
Ni1 Ni 0.5000 0.5000 0.5000 1
Hg1 Hg 0.0000 0.5000 0.5000 1
```

Summary:
energy above the most stable polymorph in this dataset: 0 meV per atom
crystal system: cubic
energy of formation: -0.127 eV/atom

=====

The calculation returns the following ρ values, one per record and in order: 5.68 9.89 5.95 6.79 7.42 8.03 6.85 4.28 8.47 6.95 6.92 8.41 g cm⁻³.